Below is SrVNiF2 after structural relaxation, with properties calculated at the GGA+U level.

Unit cell a=4.4257 b=4.4257 c=4.4758 alpha=90.00 beta=90.00 gamma=90.00
Sites, in units of the cell vectors:
Sr1 0.0000 0.0000 0.0000
V1 0.5000 0.5000 0.0000
Ni1 0.5000 0.5000 0.5000
F1 0.0000 0.5000 0.5000
F2 0.5000 0.0000 0.5000

Results
N(E_F): 2.59 states/eV/f.u.
VASP energy: -3.429 eV/atom